(1)
The following is a DFT calculation (PBE) of a geometry-optimized LaTb2PrH structure.

Computed properties:
- VASP energy (eV/atom) = -4.632

Cell: 5.1199 5.1199 5.1350 Å, 90.00 90.00 90.00°
Last column: nearest neighbours and their distance in Å.
Sites, in units of the cell vectors:
La1 0.0000 0.0000 0.0000  4 Pr 3.62, 8 Tb 3.63
Tb1 0.0000 0.5000 0.5000  2 H 2.56
Tb2 0.5000 0.0000 0.5000  2 H 2.56
Pr1 0.5000 0.5000 0.0000  2 H 2.57
H1 0.5000 0.5000 0.5000  4 Tb 2.56, 2 Pr 2.57

=====

(2)
The following is a DFT calculation (PBE) of a geometry-optimized RbNa2TbCl6 structure.

Computed properties:
- formation energy from raw total energies (eV/f.u.) = -20.43

Cell: 7.8474 7.8474 7.8474 Å, 55.18 55.18 55.18°
Last column: nearest neighbours and their distance in Å.
Sites, in units of the cell vectors:
Rb1 0.0000 0.0000 0.0000  6 Cl 3.20-3.43
Na1 0.2815 0.2815 0.2815  6 Cl 2.86-2.96
Na2 0.7967 0.7967 0.7967  6 Cl 2.78-2.95
Tb1 0.4784 0.4784 0.4784  6 Cl 2.67-2.68
Cl1 0.0844 0.6320 0.4538  1 Tb 2.68, 2 Na 2.78-2.96
Cl2 0.2247 0.5518 0.8611  1 Tb 2.67, 2 Na 2.86-2.95
Cl3 0.4538 0.0844 0.6320  1 Tb 2.68, 2 Na 2.78-2.96
Cl4 0.5518 0.8611 0.2247  1 Tb 2.67, 2 Na 2.86-2.95
Cl5 0.6320 0.4538 0.0844  1 Tb 2.68, 2 Na 2.78-2.96
Cl6 0.8611 0.2247 0.5518  1 Tb 2.67, 2 Na 2.86-2.95

=====

(3)
The following is a DFT calculation (PBE) of a geometry-optimized Gd2ThMg structure.

Computed properties:
- energy above the lowest structure with this stoichiometry (meV per atom) = 186
- ΔH_f (0 K) (meV/atom) = 139

Cell: 5.5758 5.5758 5.5758 Å, 60.00 60.00 60.00°
Last column: nearest neighbours and their distance in Å.
Sites, in units of the cell vectors:
Gd1 0.2500 0.2500 0.2500  4 Th 3.41, 4 Mg 3.41
Gd2 0.7500 0.7500 0.7500  4 Th 3.41, 4 Mg 3.41
Th1 0.0000 0.0000 0.0000  8 Gd 3.41
Mg1 0.5000 0.5000 0.5000  8 Gd 3.41

=====

(4)
The following is a DFT calculation (PBE) of a geometry-optimized ScTiAl2 structure.

Computed properties:
- energy above the lowest structure with this stoichiometry (meV per atom) = 31
- ΔH_f (0 K) (meV/atom) = -369

Cell: 4.1452 4.1452 4.1570 Å, 90.00 90.00 90.00°
Last column: nearest neighbours and their distance in Å.
Sites, in units of the cell vectors:
Sc1 0.0000 0.0000 0.0000  4 Ti 2.93, 8 Al 2.94
Ti1 0.5000 0.5000 0.0000  4 Sc 2.93, 8 Al 2.94
Al1 0.0000 0.5000 0.5000  4 Al 2.93, 4 Sc 2.94, 4 Ti 2.94
Al2 0.5000 0.0000 0.5000  4 Al 2.93, 4 Sc 2.94, 4 Ti 2.94

=====

Per-record size of the total moment, μB/cell: 0.00, 0.00, 16.15, 1.38
Per-record Fermi-level density of states, states/eV per cell: 4.60, 0.00, 4.51, 2.73